i.
A crystal of TlFe2Sb relaxed with PBEsol, computed with meta-GGA SCAN.

Structure (POSCAR):
```
TlFe2Sb
1.0
-2.317 3.376 -2.209
-4.650 0.094 0.123
-2.196 3.295 2.441
Fe Sb Tl
2 1 1
Direct
0.000 0.000 0.000 Fe
0.750 0.750 0.750 Fe
0.500 0.500 0.500 Sb
0.250 0.250 0.250 Tl
```

Properties
magnetic moment	5.7	μB per formula unit
V	71	Å³/f.u.

=====

ii.
A crystal of TlFe2Sb relaxed with PBEsol, computed with meta-GGA SCAN.

Structure (POSCAR):
```
TlFe2Sb
1.0
-2.645 0.286 -1.535
1.505 -0.336 -2.656
-1.052 -7.712 0.379
Fe Sb Tl
2 1 1
Direct
0.000 0.000 0.060 Fe
0.500 0.500 0.207 Fe
0.000 0.000 0.416 Sb
0.500 0.500 0.818 Tl
```

Properties
magnetic moment	4.9	μB per formula unit
V	73	Å³/f.u.

=====

The relative energies come out as i 524; ii 0, with values in meV per atom.

=====

i.
A crystal of Fe2SbW relaxed with PBEsol, computed with meta-GGA SCAN.

Structure (POSCAR):
```
Fe2SbW
1.0
3.110 0.000 0.000
0.000 4.220 0.000
0.000 0.000 4.220
Fe Sb W
2 1 1
Direct
0.000 0.000 0.500 Fe
0.000 0.500 0.000 Fe
0.500 0.500 0.500 Sb
0.500 0.000 0.000 W
```

Properties
magnetic moment	2.9	μB per formula unit
V	55	Å³/f.u.

=====

ii.
A crystal of Fe2SbW relaxed with PBEsol, computed with meta-GGA SCAN.

Structure (POSCAR):
```
Fe2SbW
1.0
-0.402 0.622 2.892
-2.186 -1.345 1.526
3.946 -5.912 3.361
Fe Sb W
2 1 1
Direct
0.257 0.257 0.230 Fe
0.743 0.743 0.770 Fe
0.500 0.500 0.500 Sb
0.000 0.000 0.000 W
```

Properties
magnetic moment	3.3	μB per formula unit
V	59	Å³/f.u.

=====

The relative energies come out as i 0; ii 232, with values in meV per atom.

=====

i.
A crystal of FeSbW2 relaxed with PBEsol, computed with meta-GGA SCAN.

Structure (POSCAR):
```
FeSbW2
1.0
2.860 0.000 -0.006
0.000 4.173 0.000
-1.012 0.000 5.199
Fe Sb W
1 1 2
Direct
0.369 0.000 0.473 Fe
0.403 0.500 0.744 Sb
0.994 0.000 0.011 W
0.734 0.500 0.272 W
```

Properties
magnetic moment	0.0	μB per formula unit
V	62	Å³/f.u.

=====

ii.
A crystal of FeSbW2 relaxed with PBEsol, computed with meta-GGA SCAN.

Structure (POSCAR):
```
FeSbW2
1.0
-1.695 -0.857 -2.185
-2.209 -1.803 0.503
-6.570 5.958 0.841
Fe Sb W
1 1 2
Direct
0.500 0.500 0.500 Fe
0.000 0.000 0.000 Sb
0.242 0.242 0.274 W
0.758 0.758 0.726 W
```

Properties
magnetic moment	1.9	μB per formula unit
V	64	Å³/f.u.

=====

iii.
A crystal of FeSbW2 relaxed with PBEsol, computed with meta-GGA SCAN.

Structure (POSCAR):
```
FeSbW2
1.0
-1.561 0.674 -2.703
-2.782 -0.233 1.549
0.247 5.939 1.338
Fe Sb W
1 1 2
Direct
0.000 0.000 0.478 Fe
0.500 0.500 0.738 Sb
0.000 0.000 0.014 W
0.500 0.500 0.270 W
```

Properties
magnetic moment	1.6	μB per formula unit
V	62	Å³/f.u.

=====

iv.
A crystal of FeSbW2 relaxed with PBEsol, computed with meta-GGA SCAN.

Structure (POSCAR):
```
FeSbW2
1.0
3.016 0.000 0.000
0.000 4.750 0.123
0.000 -1.943 4.336
Fe Sb W
1 1 2
Direct
0.500 0.500 0.500 Fe
0.500 0.000 0.000 Sb
0.000 0.000 0.500 W
0.000 0.500 0.000 W
```

Properties
magnetic moment	2.1	μB per formula unit
V	63	Å³/f.u.

=====

The relative energies come out as i 209; ii 289; iii 0; iv 201, with values in meV per atom.

=====

i.
A crystal of FeSb2W relaxed with PBEsol, computed with meta-GGA SCAN.

Structure (POSCAR):
```
FeSb2W
1.0
-0.562 2.548 1.542
-2.696 0.231 -1.364
-3.485 -4.479 6.130
Fe Sb W
1 2 1
Direct
0.500 0.500 0.719 Fe
0.000 0.000 0.920 Sb
0.500 0.500 0.310 Sb
0.000 0.000 0.551 W
```

Properties
magnetic moment	1.8	μB per formula unit
V	77	Å³/f.u.

=====

ii.
A crystal of FeSb2W relaxed with PBEsol, computed with meta-GGA SCAN.

Structure (POSCAR):
```
FeSb2W
1.0
3.137 0.000 0.000
-1.569 4.244 0.020
0.000 -1.343 5.248
Fe Sb W
1 2 1
Direct
0.000 0.000 0.500 Fe
0.743 0.486 0.743 Sb
0.257 0.514 0.257 Sb
0.500 0.000 0.000 W
```

Properties
magnetic moment	2.0	μB per formula unit
V	70	Å³/f.u.

=====

The relative energies come out as i 0; ii 449, with values in meV per atom.

=====

i.
A crystal of ZrFeSb2 relaxed with PBEsol, computed with meta-GGA SCAN.

Structure (POSCAR):
```
ZrFeSb2
1.0
-1.125 -1.135 2.883
2.757 -1.762 -0.402
3.714 5.029 3.429
Fe Sb Zr
1 2 1
Direct
0.500 0.500 0.000 Fe
0.000 0.000 0.216 Sb
0.000 0.000 0.784 Sb
0.500 0.500 0.500 Zr
```

Properties
magnetic moment	1.3	μB per formula unit
V	76	Å³/f.u.

=====

ii.
A crystal of ZrFeSb2 relaxed with PBEsol, computed with meta-GGA SCAN.

Structure (POSCAR):
```
ZrFeSb2
1.0
3.261 0.000 0.000
1.630 2.824 0.000
1.630 0.941 8.551
Fe Sb Zr
1 2 1
Direct
0.000 0.000 0.000 Fe
0.261 0.261 0.216 Sb
0.739 0.739 0.784 Sb
0.500 0.500 0.500 Zr
```

Properties
magnetic moment	3.0	μB per formula unit
V	79	Å³/f.u.

=====

The relative energies come out as i 0; ii 51, with values in meV per atom.

=====

i.
A crystal of ScFeSe2 relaxed with PBEsol, computed with meta-GGA SCAN.

Structure (POSCAR):
```
ScFeSe2
1.0
-0.592 -1.735 3.330
2.787 -0.163 2.581
-1.097 4.388 4.262
Fe Sc Se
1 1 2
Direct
0.500 0.500 0.500 Fe
0.000 0.000 0.000 Sc
0.244 0.244 0.268 Se
0.756 0.756 0.732 Se
```

Properties
magnetic moment	3.0	μB per formula unit
V	73	Å³/f.u.

=====

ii.
A crystal of ScFeSe2 relaxed with PBEsol, computed with meta-GGA SCAN.

Structure (POSCAR):
```
ScFeSe2
1.0
-1.301 2.493 -1.915
-0.741 -2.209 -2.371
-5.874 -1.023 2.789
Fe Sc Se
1 1 2
Direct
0.500 0.500 0.000 Fe
0.000 0.500 0.500 Sc
0.503 0.000 0.732 Se
0.497 0.000 0.268 Se
```

Properties
magnetic moment	3.0	μB per formula unit
V	74	Å³/f.u.

=====

iii.
A crystal of ScFeSe2 relaxed with PBEsol, computed with meta-GGA SCAN.

Structure (POSCAR):
```
ScFeSe2
1.0
3.437 0.000 0.000
0.000 3.493 0.000
-1.718 -1.747 5.910
Fe Sc Se
1 1 2
Direct
0.461 0.461 0.922 Fe
0.205 0.705 0.410 Sc
0.036 0.036 0.072 Se
0.798 0.298 0.595 Se
```

Properties
magnetic moment	3.0	μB per formula unit
V	71	Å³/f.u.

=====

The relative energies come out as i 0; ii 261; iii 53, with values in meV per atom.

=====

i.
A crystal of SrSc3Fe relaxed with PBEsol, computed with meta-GGA SCAN.

Structure (POSCAR):
```
SrSc3Fe
1.0
-0.563 -4.529 -1.885
1.129 -1.966 4.386
-4.773 0.069 1.260
Sc Sr Fe
3 1 1
Direct
0.000 0.500 0.000 Sc
0.000 0.000 0.500 Sc
0.500 0.000 0.000 Sc
0.000 0.000 0.000 Sr
0.500 0.500 0.500 Fe
```

Properties
magnetic moment	3.1	μB per formula unit
V	120	Å³/f.u.

=====

ii.
A crystal of SrSc3Fe relaxed with PBEsol, computed with meta-GGA SCAN.

Structure (POSCAR):
```
SrSc3Fe
1.0
-2.128 4.340 -1.133
-3.979 -2.406 -1.739
-2.069 0.163 4.510
Sc Sr Fe
3 1 1
Direct
0.000 0.500 0.000 Sc
0.000 0.000 0.500 Sc
0.500 0.000 0.000 Sc
0.500 0.500 0.500 Sr
0.000 0.000 0.000 Fe
```

Properties
magnetic moment	0.0	μB per formula unit
V	122	Å³/f.u.

=====

The relative energies come out as i 1638; ii 0, with values in meV per atom.